Entry 1:
Here is a relaxed structure of CrFeCl2 from Alexandria via LeMat-Bulk. Energies are from PBE-GGA.

Cell and atoms, written as CIF:
```
data_CrFeCl2
_chemical_formula_sum 'Cr1 Fe1 Cl2'
_space_group_name_H-M_alt 'P 1 2/m 1'
_space_group_IT_number 10
_space_group_name_Hall '-P 2y'
_cell_length_a 4.187
_cell_length_b 3.254
_cell_length_c 5.208
_cell_angle_alpha 90.00
_cell_angle_beta 106.15
_cell_angle_gamma 90.00
loop_
_atom_site_label
_atom_site_type_symbol
_atom_site_fract_x
_atom_site_fract_y
_atom_site_fract_z
Cr1 Cr 0.000 0.000 0.000
Fe1 Fe 0.500 0.500 0.500
Cl1 Cl 0.000 0.000 0.500
Cl2 Cl 0.500 0.500 0.000
```

Values from the calculation:
- Formation energy (no corrections): 0.169 eV/atom
- Energy above the most stable polymorph in this dataset: 325 meV per atom

Entry 2:
Here is a relaxed structure of CrFe2Cl from Alexandria via LeMat-Bulk. Energies are from PBE-GGA.

Cell and atoms, written as CIF:
```
data_CrFe2Cl
_chemical_formula_sum 'Cr2 Fe4 Cl2'
_space_group_name_H-M_alt 'I m m m'
_space_group_IT_number 71
_space_group_name_Hall '-I 2 2'
_cell_length_a 2.803
_cell_length_b 4.204
_cell_length_c 8.823
_cell_angle_alpha 90.00
_cell_angle_beta 90.00
_cell_angle_gamma 90.00
loop_
_atom_site_label
_atom_site_type_symbol
_atom_site_fract_x
_atom_site_fract_y
_atom_site_fract_z
Cr1 Cr 0.000 0.000 0.000
Fe1 Fe 0.000 0.500 0.234
Cl1 Cl 0.000 0.000 0.500
```

Values from the calculation:
- Formation energy (no corrections): 0.524 eV/atom
- Energy above the most stable polymorph in this dataset: 333 meV per atom

Entry 3:
Here is a relaxed structure of CrFeCl2 from Alexandria via LeMat-Bulk. Energies are from PBE-GGA.

Cell and atoms, written as CIF:
```
data_CrFeCl2
_chemical_formula_sum 'Cr4 Fe4 Cl8'
_space_group_name_H-M_alt 'I -4 2 d'
_space_group_IT_number 122
_space_group_name_Hall 'I -4 2bw'
_cell_length_a 4.899
_cell_length_b 4.899
_cell_length_c 14.037
_cell_angle_alpha 90.00
_cell_angle_beta 90.00
_cell_angle_gamma 90.00
loop_
_atom_site_label
_atom_site_type_symbol
_atom_site_fract_x
_atom_site_fract_y
_atom_site_fract_z
Cr1 Cr 0.000 0.000 0.000
Fe1 Fe 0.000 0.000 0.500
Cl1 Cl 0.228 0.250 0.625
```

Values from the calculation:
- Formation energy (no corrections): 0.147 eV/atom
- Energy above the most stable polymorph in this dataset: 304 meV per atom

Entry 4:
Here is a relaxed structure of CrFe2Cl from Alexandria via LeMat-Bulk. Energies are from PBE-GGA.

Cell and atoms, written as CIF:
```
data_CrFe2Cl
_chemical_formula_sum 'Cr1 Fe2 Cl1'
_space_group_name_H-M_alt 'P 4/m m m'
_space_group_IT_number 123
_space_group_name_Hall '-P 4 2'
_cell_length_a 2.800
_cell_length_b 2.800
_cell_length_c 6.822
_cell_angle_alpha 90.00
_cell_angle_beta 90.00
_cell_angle_gamma 90.00
loop_
_atom_site_label
_atom_site_type_symbol
_atom_site_fract_x
_atom_site_fract_y
_atom_site_fract_z
Cr1 Cr 0.000 0.000 0.000
Fe1 Fe 0.500 0.500 0.237
Cl1 Cl 0.000 0.000 0.500
```

Values from the calculation:
- Formation energy (no corrections): 0.399 eV/atom
- Energy above the most stable polymorph in this dataset: 207 meV per atom